A geometry-optimized CoSiRh2 structure, computed with PBE-GGA.

Output
- Volume: 230 Å³/cell
- Crystal system: tetragonal
- Total energy: -6.67 eV/atom

```
data_CoSiRh2
_symmetry_space_group_name_H-M 'I -4 2 d'
_symmetry_Int_Tables_number 122
_symmetry_space_group_name_Hall 'I -4 2bw'
_cell_length_a 3.721
_cell_length_b 3.721
_cell_length_c 16.604
_cell_angle_alpha 90.00
_cell_angle_beta 90.00
_cell_angle_gamma 90.00
loop_
_atom_site_label
_atom_site_fract_x
_atom_site_fract_y
_atom_site_fract_z
_atom_site_occupancy
Co1 0.000 0.000 0.000 1
Si1 0.000 0.000 0.500 1
Rh1 0.247 0.250 0.125 1
```

---

A geometry-optimized Li3Pm2Ga4 structure, computed with PBE-GGA.

Output
- Volume: 724 Å³/cell
- Crystal system: orthorhombic
- E_form: -0.39 eV per atom

```
data_Li3Pm2Ga4
_symmetry_space_group_name_H-M 'C m c e'
_symmetry_Int_Tables_number 64
_symmetry_space_group_name_Hall '-C 2ac 2'
_cell_length_a 5.800
_cell_length_b 16.237
_cell_length_c 7.693
_cell_angle_alpha 90.00
_cell_angle_beta 90.00
_cell_angle_gamma 90.00
loop_
_atom_site_label
_atom_site_fract_x
_atom_site_fract_y
_atom_site_fract_z
_atom_site_occupancy
Li1 0.000 0.000 0.000 1
Li2 0.250 0.234 0.250 1
Pm1 0.000 0.102 0.601 1
Ga1 0.000 0.162 0.996 1
Ga2 0.250 0.071 0.250 1
```

---

A geometry-optimized NdSnH structure, computed with PBE-GGA.

Output
- Volume: 256 Å³/cell
- Crystal system: orthorhombic
- ΔE to the lowest computed polymorph: 301 meV/atom

```
data_NdSnH
_symmetry_space_group_name_H-M 'F m m 2'
_symmetry_Int_Tables_number 42
_symmetry_space_group_name_Hall 'F 2 -2'
_cell_length_a 4.663
_cell_length_b 4.687
_cell_length_c 11.694
_cell_angle_alpha 90.00
_cell_angle_beta 90.00
_cell_angle_gamma 90.00
loop_
_atom_site_label
_atom_site_fract_x
_atom_site_fract_y
_atom_site_fract_z
_atom_site_occupancy
Nd1 0.000 0.000 0.000 1
Sn1 0.000 0.000 0.718 1
H1 0.000 0.000 0.456 1
```